NdEr2TmHg4 (PBE, optimized geometry); DOS(E_F) = 7.76 states/eV/cell; energy relative to the elements = -467 meV per atom; SG = R-3m; raw total energy = -2.913 eV per atom
1.0
2.6282 1.5174 8.6625
-2.6282 1.5174 8.6625
0.0000 -3.0348 8.6625
Nd Er Tm Hg
1 2 1 4
Cartesian
0.0000 0.0000 0.0000
0.0000 0.0000 6.4653
0.0000 0.0000 19.5221
0.0000 0.0000 12.9937
0.0000 0.0000 3.3084
0.0000 0.0000 9.8363
0.0000 0.0000 16.1511
0.0000 0.0000 22.6791